# 1
This record from Alexandria describes Sr2UPdS6 after structural relaxation. The functional is PBE.

Cell: 7.2378 7.2378 6.6081 Å, 114.99 114.99 55.52°
Atoms (fractional coordinates):
Sr  0.2429  0.2429  0.2081
Sr  0.7571  0.7571  0.7919
U  0.5000  0.5000  0.0000
Pd  0.0000  0.0000  0.5000
S  0.1721  0.6984  0.2019
S  0.2899  0.2899  0.6895
S  0.3016  0.8279  0.7981
S  0.6984  0.1721  0.2019
S  0.7101  0.7101  0.3105
S  0.8279  0.3016  0.7981

Results
crystal system = monoclinic

# 2
This record from Alexandria describes SrV2PdS after structural relaxation. The functional is PBE.

Cell: 4.8361 4.8361 5.1914 Å, 90.00 90.00 90.00°
Atoms (fractional coordinates):
Sr  0.0000  0.0000  0.0000
V  0.0000  0.5000  0.5000
V  0.5000  0.0000  0.5000
Pd  0.5000  0.5000  0.5000
S  0.5000  0.5000  0.0000

Results
density of states at the Fermi level = 5.68 states/eV/cell
crystal system = tetragonal

# 3
This record from Alexandria describes Ta3PdS6 after structural relaxation. The functional is PBE.

Cell: 7.7752 7.7752 6.0416 Å, 90.00 90.00 102.96°
Atoms (fractional coordinates):
Ta  0.0961  0.9039  0.5000
Ta  0.2328  0.4601  0.4096
Ta  0.4601  0.2328  0.9096
Ta  0.5399  0.7672  0.4096
Ta  0.7672  0.5399  0.9096
Ta  0.9039  0.0961  0.0000
Pd  0.2796  0.7204  0.7929
Pd  0.7204  0.2796  0.2928
S  0.0120  0.5927  0.6209
S  0.1424  0.1982  0.7085
S  0.1982  0.1424  0.2085
S  0.2586  0.7414  0.2173
S  0.4073  0.9880  0.6209
S  0.4744  0.5256  0.7126
S  0.5256  0.4744  0.2126
S  0.5927  0.0120  0.1209
S  0.7414  0.2586  0.7173
S  0.8018  0.8576  0.7085
S  0.8576  0.8018  0.2085
S  0.9880  0.4073  0.1209

Results
density of states at the Fermi level = 8.50 states/eV/cell
crystal system = orthorhombic

# 4
This record from Alexandria describes TaPd2S4 after structural relaxation. The functional is PBE.

Cell: 6.5479 6.5479 11.6155 Å, 90.00 90.00 150.84°
Atoms (fractional coordinates):
Ta  0.1150  0.8850  0.7500
Ta  0.8850  0.1150  0.2500
Pd  0.3711  0.6289  0.5736
Pd  0.3711  0.6289  0.9264
Pd  0.6289  0.3711  0.0736
Pd  0.6289  0.3711  0.4264
S  0.0000  0.0000  0.0000
S  0.0000  0.0000  0.5000
S  0.2969  0.7031  0.1188
S  0.2969  0.7031  0.3812
S  0.4671  0.5329  0.7500
S  0.5329  0.4671  0.2500
S  0.7031  0.2969  0.6188
S  0.7031  0.2969  0.8812

Results
density of states at the Fermi level = 6.73 states/eV/cell
crystal system = orthorhombic

Number 1: E -5.7743 eV per atom, E_form (uncorrected) -1.31 eV per atom. Number 2: E -5.3417 eV per atom, E_form (uncorrected) 0.51 eV per atom. Number 3: E -7.2254 eV per atom, E_form (uncorrected) -0.67 eV per atom. Number 4: E -6.0011 eV per atom, E_form (uncorrected) -0.47 eV per atom.